VASP calculation (PBE) on a geometry-optimized LaTa2NbMo structure.

- DFT formation energy: 9.1 eV per formula unit

Cell lengths 4.869, 4.869, 5.292 Å; angles 90.00, 90.00, 90.00 degrees
Space group P4/mmm (No. 123)
Unique sites:
La (0.000, 0.000, 0.000)
Ta (0.000, 0.500, 0.500)
Nb (0.000, 0.000, 0.500)
Mo (0.500, 0.500, 0.000)

***

VASP calculation (PBE) on a geometry-optimized PuPa4As5 structure.

- DFT formation energy: -10.7 eV per formula unit

Cell lengths 13.608, 4.100, 10.048 Å; angles 90.00, 119.50, 90.00 degrees
Space group C2/m (No. 12)
Unique sites:
Pu (0.000, 0.000, 0.000)
Pa (0.100, 0.500, 0.399)
Pa (0.200, 0.000, 0.799)
As (0.000, 0.000, 0.500)
As (0.101, 0.500, 0.900)
As (0.200, 0.000, 0.301)

***

VASP calculation (PBE) on a geometry-optimized La3IrPb structure.

- DFT formation energy: 0.1 eV per formula unit
- Distance to the lowest polymorph of the same formula: 0.713 eV per atom

Cell lengths 9.6567, 9.6567, 7.0771 Å; angles 90.00, 90.00, 120.00 degrees
Space group R3m (No. 160, hexagonal axes)
Unique sites:
La (0.2062, 0.4123, 0.0000)
Ir (0.0000, 0.0000, 0.5702)
Pb (0.0000, 0.0000, 0.9651)

***

VASP calculation (PBE) on a geometry-optimized YRePb structure.

- DFT formation energy: 0.9 eV per formula unit
- Distance to the lowest polymorph of the same formula: 0.000 eV per atom

Cell lengths 3.605, 3.605, 10.271 Å; angles 90.00, 90.00, 90.00 degrees
Space group I4mm (No. 107)
Unique sites:
Y (0.000, 0.000, 0.000)
Re (0.000, 0.000, 0.663)
Pb (0.000, 0.000, 0.302)

***

VASP calculation (PBE) on a geometry-optimized Na2BrF8 structure.

- Formation energy without anion corrections: -147.8 kJ/mol of atoms

Cell lengths 9.845, 7.466, 4.837 Å; angles 90.00, 111.91, 90.00 degrees
Space group C2/m (No. 12)
Unique sites:
Na (0.164, 0.000, 0.336)
Br (0.000, 0.500, 0.000)
F (0.075, 0.000, 0.712)
F (0.123, 0.500, 0.781)
F (0.124, 0.322, 0.255)

***

VASP calculation (PBE) on a geometry-optimized BaSrSF2 structure.

- Formation energy without anion corrections: -299.4 kJ/mol of atoms

Cell lengths 4.443, 4.443, 6.522 Å; angles 90.00, 90.00, 90.00 degrees
Space group P4mm (No. 99)
Unique sites:
Ba (0.000, 0.000, 0.000)
Sr (0.500, 0.500, 0.414)
S (0.500, 0.500, 0.853)
F (0.000, 0.500, 0.282)

***

VASP calculation (PBE) on a geometry-optimized AcCd2Ga structure.

- DFT formation energy: -1.5 eV per formula unit
- Distance to the lowest polymorph of the same formula: 0.000 eV per atom

Cell lengths 4.719, 18.125, 9.897 Å; angles 90.00, 90.00, 90.00 degrees
Space group Cmcm (No. 63)
Unique sites:
Ac (0.000, 0.000, 0.000)
Ac (0.000, 0.202, 0.250)
Cd (0.000, 0.189, 0.600)
Cd (0.000, 0.401, 0.250)
Cd (0.000, 0.444, 0.750)
Ga (0.000, 0.353, 0.527)

***

VASP calculation (PBE) on a geometry-optimized Sc6HgIr2 structure.

- DFT formation energy: -5.4 eV per formula unit

Cell lengths 8.781, 8.852, 9.840 Å; angles 90.00, 90.00, 90.00 degrees
Space group Immm (No. 71)
Unique sites:
Sc (0.000, 0.201, 0.169)
Sc (0.185, 0.215, 0.500)
Sc (0.206, 0.500, 0.258)
Hg (0.000, 0.500, 0.000)
Hg (0.000, 0.500, 0.500)
Ir (0.000, 0.000, 0.364)
Ir (0.164, 0.000, 0.000)

***

VASP calculation (PBE) on a geometry-optimized La2ZnPd3 structure.

- DFT formation energy: -4.5 eV per formula unit

Cell lengths 7.576, 9.054, 15.879 Å; angles 90.00, 90.00, 90.00 degrees
Space group Fmmm (No. 69)
Unique sites:
La (0.247, 0.000, 0.000)
La (0.250, 0.250, 0.250)
Zn (0.000, 0.000, 0.334)
Pd (0.000, 0.000, 0.174)
Pd (0.000, 0.241, 0.414)

***

VASP calculation (PBE) on a geometry-optimized HoTm4Cu structure.

- DFT formation energy: -0.4 eV per formula unit

Cell lengths 3.448, 3.448, 13.601 Å; angles 90.00, 90.00, 90.00 degrees
Space group P4/mmm (No. 123)
Unique sites:
Ho (0.000, 0.000, 0.000)
Tm (0.000, 0.000, 0.376)
Tm (0.500, 0.500, 0.184)
Cu (0.500, 0.500, 0.500)

***

VASP calculation (PBE) on a geometry-optimized NaNp3S6 structure.

- Formation energy without anion corrections: -119.1 kJ/mol of atoms
- Distance to the lowest polymorph of the same formula: 0.093 eV per atom

Cell lengths 6.9740, 6.9740, 18.6408 Å; angles 90.00, 90.00, 120.00 degrees
Space group R3 (No. 146, hexagonal axes)
Unique sites:
Na (0.0000, 0.0000, 0.0000)
Np (0.0000, 0.0000, 0.2845)
Np (0.0000, 0.0000, 0.4832)
Np (0.0000, 0.0000, 0.7928)
S (0.0056, 0.6940, 0.8813)
S (0.0243, 0.4027, 0.0512)

***

VASP calculation (PBE) on a geometry-optimized Cs2Hg3Pb6 structure.

- DFT formation energy: -1.2 eV per formula unit

Cell lengths 9.5375, 9.5375, 5.1992 Å; angles 90.00, 90.00, 120.00 degrees
Space group P-62m (No. 189)
Unique sites:
Cs (0.3333, 0.6667, 0.0000)
Hg (0.0000, 0.5926, 0.5000)
Pb (0.0000, 0.2551, 0.5000)
Pb (0.0000, 0.8019, 0.0000)